1.
VASP calculation (PBE) on a relaxed Ni8BAs2 crystal.

As for the formation energy: -0.18 eV/atom. The energy relative to the lowest polymorph listed for this composition comes out at 0.000 eV/atom. The calculation puts the total energy at -5.839 eV per atom. The space group is C2/m, No. 12.

```
Ni8BAs2
1.0
-2.892 -2.357 1.102
1.825 0.009 4.809
-2.856 6.041 -1.441
Ni B As
8 1 2
Cartesian
-2.387 3.930 2.137
-0.973 0.244 4.832
-2.699 1.752 3.529
-5.223 3.535 0.719
-1.223 1.942 0.941
-2.949 3.450 -0.362
-1.535 -0.236 2.333
1.301 0.158 3.751
-1.446 -1.178 0.551
-3.684 1.992 1.457
-0.238 1.702 3.013
```

=====

2.
VASP calculation (PBE) on a relaxed NiB2As crystal.

As for the formation energy: 0.51 eV/atom. The calculation puts the total energy at -5.437 eV per atom. The space group is I-42d, No. 122.

```
NiB2As
1.0
-0.665 4.312 1.875
-3.352 0.893 -3.243
-5.144 0.912 2.091
Ni As B
2 2 4
Cartesian
-2.008 2.603 -0.684
-5.252 2.204 -0.918
0.000 0.000 0.000
-3.909 3.914 1.641
-2.110 2.964 1.258
-3.475 1.397 -1.239
-5.420 2.651 1.002
-7.318 5.224 0.425
```

=====

3.
VASP calculation (PBE) on a relaxed Ni6B2As crystal.

As for the formation energy: -0.21 eV/atom. The calculation puts the total energy at -6.069 eV per atom. The space group is Immm, No. 71.

```
Ni6B2As
1.0
-5.987 0.702 -1.390
1.597 -5.853 1.211
1.485 3.003 5.201
Ni B As
12 4 2
Cartesian
-2.136 -0.830 0.658
-0.769 -1.319 4.364
-3.934 -2.939 0.584
1.029 0.791 4.437
1.441 -1.424 5.643
-4.346 -0.724 -0.622
-2.738 -2.210 2.723
-0.167 0.062 2.299
0.697 -3.532 4.258
-3.602 1.384 0.764
-2.537 0.399 2.980
-0.368 -2.547 2.042
-1.077 0.767 4.347
-1.828 -2.915 0.675
-1.600 1.317 1.355
-2.901 2.387 2.456
1.541 -1.425 3.206
0.000 0.000 0.000
```

=====

4.
VASP calculation (PBE) on a relaxed Ni12B5As crystal.

As for the formation energy: -0.24 eV/atom. The calculation puts the total energy at -6.212 eV per atom. The space group is Immm, No. 71.

```
Ni12B5As
1.0
5.633 -0.164 -2.263
-2.978 5.048 -1.589
-0.110 0.164 6.070
Ni B As
12 5 1
Cartesian
0.508 4.165 1.842
2.037 0.884 0.376
4.447 0.884 2.037
-1.902 4.165 0.180
1.808 3.352 -0.442
0.738 1.696 2.659
-0.340 3.516 4.223
2.886 1.532 -2.006
2.760 2.959 1.905
-0.215 2.090 0.312
-1.894 4.924 2.748
4.439 0.125 -0.531
1.742 3.204 -2.527
0.913 1.680 -1.325
2.398 0.614 2.431
0.147 4.435 -0.213
0.000 0.000 0.000
-1.544 2.606 2.240
```

=====

5.
VASP calculation (PBE) on a relaxed Ni21B6As2 crystal.

As for the formation energy: -0.26 eV/atom. The calculation puts the total energy at -6.145 eV per atom. The space group is Fm-3m, No. 225.

```
Ni21B6As2
1.0
-2.166 5.359 -4.670
-7.239 1.238 -1.134
-3.172 6.177 2.647
Ni B As
21 6 2
Cartesian
0.000 0.000 0.000
-6.276 4.965 -3.217
-7.788 7.910 -1.954
-4.337 7.319 -1.414
-6.755 5.354 0.273
-6.302 7.809 0.061
-4.790 4.864 -1.202
-8.241 5.455 -1.742
-5.823 7.420 -3.428
-2.505 5.634 -2.208
-5.871 2.899 0.138
-1.067 2.078 0.891
-4.804 0.822 -0.752
-1.438 3.556 -3.099
-2.105 4.099 1.757
-2.435 0.417 -0.381
-4.541 4.515 1.376
-3.873 3.973 -3.480
-2.834 5.902 0.186
-0.729 1.803 -1.571
-5.533 2.625 -2.323
-6.721 4.044 -1.376
-4.413 5.919 -2.985
-7.707 6.483 -3.501
-5.857 8.730 -1.780
-8.165 6.855 -0.171
-4.871 6.291 0.345
-9.434 9.581 -2.367
-3.145 3.194 -0.789
```

=====

6.
VASP calculation (PBE) on a relaxed Ni8BAs2 crystal.

As for the formation energy: -0.10 eV/atom. The energy relative to the lowest polymorph listed for this composition comes out at 0.077 eV/atom. The calculation puts the total energy at -5.762 eV per atom. The space group is Immm, No. 71.

```
Ni8BAs2
1.0
3.414 0.000 -1.039
-0.998 5.774 -3.279
0.094 -0.232 6.437
Ni B As
8 1 2
Cartesian
1.379 5.126 -1.598
0.648 3.211 2.128
0.308 0.627 1.011
-0.310 1.796 -1.020
2.202 4.914 1.108
1.862 2.330 -0.010
1.131 0.415 3.716
-0.594 3.746 4.177
1.707 0.000 -0.519
-0.009 3.885 -0.031
2.519 1.656 2.150
```